A plane-wave DFT calculation with PBE-GGA was carried out for a geometry-optimized BeMoHRh2 structure.

POSCAR file:
```
BeMoHRh2
1.0
4.654 0.000 0.000
0.000 4.519 0.000
0.000 0.000 4.654
Be Mo Rh H
1 1 2 1
direct
0.000 0.500 0.000
0.000 0.000 0.000
0.000 0.000 0.500
0.500 0.000 0.000
0.500 0.500 0.500
```

Its energy above the most stable polymorph in this dataset is 1682 meV per atom. Its space group is P4/mmm, No. 123. The calculation puts the energy at -23.7 eV/f.u.

***

A plane-wave DFT calculation with PBE-GGA was carried out for a geometry-optimized BaNaAcSi structure.

POSCAR file:
```
BaNaAcSi
1.0
5.734 0.000 0.000
2.867 4.966 0.000
2.867 1.655 4.682
Na Ac Si Ba
1 1 1 1
direct
0.500 0.500 0.500
0.250 0.250 0.250
0.000 0.000 0.000
0.750 0.750 0.750
```

Its space group is F-43m, No. 216. The calculation puts the energy at -13.0 eV/f.u. Its formation energy (no corrections) is -0.07 eV/atom.